Crystalline Ir5Os2Rh2 at its relaxed geometry. Source: Alexandria, functional GGA-PBE.

Cell: 4.765 7.039 8.510 Å, 107.86 106.31 90.01°
Fractional positions:
Rh  0.653  0.280  0.223
Ir  0.212  0.167  0.334
Os  0.436  0.556  0.448
Ir  0.546  0.336  0.667
Ir  0.772  0.059  0.448
Ir  0.879  0.664  0.333
Ir  0.659  0.112  0.892
Ir  0.767  0.888  0.108
Ir  0.323  0.941  0.552
Os  0.211  0.000  0.000
Rh  0.430  0.720  0.777
Os  0.548  0.500  0.000
Rh  0.991  0.610  0.889
Os  0.988  0.444  0.551
Ir  0.878  0.833  0.666
Ir  0.328  0.778  0.221
Rh  0.102  0.390  0.111
Ir  0.107  0.222  0.779

Calculated values
- Energy of formation from the pure elements: 39 meV per atom
- SG: C2 (5)
- Fermi-level density of states: 17.71 states/eV/cell